Density functional theory data (PBE) for a relaxed structure of Li2Cd7Hg2.

Energy above the most stable polymorph in this dataset in meV/atom: 27
Formation energy from the elements in eV per atom: -0.0595
E in eV/atom: -1.0447

a = 6.120 Å, b = 6.120 Å, c = 7.760 Å
α = 94.57°, β = 94.57°, γ = 118.68°
Fractional positions:
Li 0.228 0.772 0.000
Li 0.772 0.228 0.000
Cd 0.079 0.545 0.323
Cd 0.319 0.319 0.096
Cd 0.455 0.921 0.677
Cd 0.500 0.500 0.500
Cd 0.545 0.079 0.323
Cd 0.681 0.681 0.904
Cd 0.921 0.455 0.677
Hg 0.080 0.080 0.717
Hg 0.920 0.920 0.283